1.
# BaBePd2F8 | the Alexandria database | PBE-GGA | optimized geometry
data_BaBePd2F8
_chemical_formula_sum 'Ba1 Be1 Pd2 F8'
_symmetry_space_group_name_H-M 'P -1'
_symmetry_Int_Tables_number 2
_cell_length_a 4.7482
_cell_length_b 4.9833
_cell_length_c 7.4889
_cell_angle_alpha 97.12
_cell_angle_beta 90.73
_cell_angle_gamma 96.05
loop_
_symmetry_equiv_pos_as_xyz
'x,y,z'
'-x,-y,-z'
loop_
_atom_site_label
_atom_site_type_symbol
_atom_site_fract_x
_atom_site_fract_y
_atom_site_fract_z
Ba1 Ba 0.0000 0.0000 0.0000
Be1 Be 0.0000 0.0000 0.5000
Pd1 Pd 0.4377 0.5404 0.3029
F1 F 0.1079 0.2670 0.3294
F2 F 0.2016 0.2102 0.7079
F3 F 0.2683 0.8441 0.4577
F4 F 0.4379 0.7330 0.8907
# calculated volume: 174.8 Å³ per cell
# uncorrected formation energy: -2223 meV per atom
# total magnetic moment: 0.0 Bohr magnetons per cell

2.
# Rb2BaBeF6 | the Alexandria database | PBE-GGA | optimized geometry
data_Rb2BaBeF6
_chemical_formula_sum 'Rb8 Ba4 Be4 F24'
_symmetry_space_group_name_H-M 'F m -3 m'
_symmetry_Int_Tables_number 225
_symmetry_space_group_name_Hall '-F 4 2 3'
_cell_length_a 8.7550
_cell_length_b 8.7550
_cell_length_c 8.7550
_cell_angle_alpha 90.00
_cell_angle_beta 90.00
_cell_angle_gamma 90.00
loop_
_atom_site_label
_atom_site_type_symbol
_atom_site_fract_x
_atom_site_fract_y
_atom_site_fract_z
Rb1 Rb 0.2500 0.2500 0.2500
Ba1 Ba 0.0000 0.0000 0.0000
Be1 Be 0.0000 0.0000 0.5000
F1 F 0.0000 0.0000 0.2920
# calculated volume: 671.1 Å³ per cell
# uncorrected formation energy: -3067 meV per atom
# total magnetic moment: 0.0 Bohr magnetons per cell

no.,uncorrected energy (eV per cell)
1,-57.7
2,-197.9